1.
This record from Alexandria via LeMat-Bulk describes crystalline SrY2Se at its relaxed geometry. The functional is GGA-PBE.

Calculated values
Its symmetry is No. 44. As for the uncorrected energy: -20.184 eV for the cell shown.

CIF file:
```
data_SrY2Se
_cell_length_a 6.772
_cell_length_b 6.772
_cell_length_c 6.772
_cell_angle_alpha 147.73
_cell_angle_beta 130.31
_cell_angle_gamma 60.49
_symmetry_space_group_name_H-M 'P 1'
_symmetry_Int_Tables_number 1
_symmetry_space_group_name_Hall 'P 1'
loop_
_atom_site_label
_atom_site_type_symbol
_atom_site_fract_x
_atom_site_fract_y
_atom_site_fract_z
_atom_site_occupancy
Sr1 Sr 0.000 0.000 0.000 1
Y1 Y 0.402 0.402 0.000 1
Y2 Y 0.692 0.192 0.500 1
Se1 Se 0.215 0.715 0.500 1
```



2.
This record from Alexandria via LeMat-Bulk describes crystalline SrYSe at its relaxed geometry. The functional is GGA-PBE.

Calculated values
Its symmetry is No. 107. As for the uncorrected energy: -14.586 eV for the cell shown. The calculation puts the energy relative to the lowest polymorph listed for this composition at 0.118 eV/atom.

CIF file:
```
data_SrYSe
_cell_length_a 7.202
_cell_length_b 7.202
_cell_length_c 7.202
_cell_angle_alpha 150.16
_cell_angle_beta 150.16
_cell_angle_gamma 42.71
_symmetry_space_group_name_H-M 'P 1'
_symmetry_Int_Tables_number 1
_symmetry_space_group_name_Hall 'P 1'
loop_
_atom_site_label
_atom_site_type_symbol
_atom_site_fract_x
_atom_site_fract_y
_atom_site_fract_z
_atom_site_occupancy
Sr1 Sr 0.000 0.000 0.000 1
Y1 Y 0.273 0.273 0.000 1
Se1 Se 0.659 0.659 0.000 1
```



3.
This record from Alexandria via LeMat-Bulk describes crystalline SrY2Se4 at its relaxed geometry. The functional is GGA-PBE.

Calculated values
Its symmetry is No. 62. As for the uncorrected energy: -169.207 eV for the cell shown. The calculation puts the energy relative to the lowest polymorph listed for this composition at 0.000 eV/atom.

CIF file:
```
data_SrY2Se4
_cell_length_a 12.652
_cell_length_b 4.158
_cell_length_c 15.032
_cell_angle_alpha 90.00
_cell_angle_beta 90.00
_cell_angle_gamma 90.00
_symmetry_space_group_name_H-M 'P 1'
_symmetry_Int_Tables_number 1
_symmetry_space_group_name_Hall 'P 1'
loop_
_atom_site_label
_atom_site_type_symbol
_atom_site_fract_x
_atom_site_fract_y
_atom_site_fract_z
_atom_site_occupancy
Sr1 Sr 0.240 0.250 0.166 1
Sr2 Sr 0.260 0.750 0.666 1
Sr3 Sr 0.740 0.250 0.334 1
Sr4 Sr 0.760 0.750 0.834 1
Y1 Y 0.063 0.250 0.389 1
Y2 Y 0.083 0.250 0.902 1
Y3 Y 0.417 0.750 0.402 1
Y4 Y 0.437 0.750 0.889 1
Y5 Y 0.563 0.250 0.111 1
Y6 Y 0.583 0.250 0.598 1
Y7 Y 0.917 0.750 0.098 1
Y8 Y 0.937 0.750 0.611 1
Se1 Se 0.027 0.750 0.784 1
Se2 Se 0.091 0.250 0.578 1
Se3 Se 0.130 0.750 0.031 1
Se4 Se 0.205 0.750 0.327 1
Se5 Se 0.295 0.250 0.827 1
Se6 Se 0.370 0.250 0.531 1
Se7 Se 0.409 0.750 0.078 1
Se8 Se 0.473 0.250 0.284 1
Se9 Se 0.527 0.750 0.716 1
Se10 Se 0.591 0.250 0.922 1
Se11 Se 0.630 0.750 0.469 1
Se12 Se 0.705 0.750 0.173 1
Se13 Se 0.795 0.250 0.673 1
Se14 Se 0.870 0.250 0.969 1
Se15 Se 0.909 0.750 0.422 1
Se16 Se 0.973 0.250 0.216 1
```



4.
This record from Alexandria via LeMat-Bulk describes crystalline SrYSe2 at its relaxed geometry. The functional is GGA-PBE.

Calculated values
Its symmetry is No. 225. As for the uncorrected energy: -21.201 eV for the cell shown. The calculation puts the energy relative to the lowest polymorph listed for this composition at 0.370 eV/atom.

CIF file:
```
data_SrYSe2
_cell_length_a 5.203
_cell_length_b 5.203
_cell_length_c 5.203
_cell_angle_alpha 60.00
_cell_angle_beta 60.00
_cell_angle_gamma 60.00
_symmetry_space_group_name_H-M 'P 1'
_symmetry_Int_Tables_number 1
_symmetry_space_group_name_Hall 'P 1'
loop_
_atom_site_label
_atom_site_type_symbol
_atom_site_fract_x
_atom_site_fract_y
_atom_site_fract_z
_atom_site_occupancy
Sr1 Sr 0.000 0.000 0.000 1
Y1 Y 0.500 0.500 0.500 1
Se1 Se 0.250 0.250 0.250 1
Se2 Se 0.750 0.750 0.750 1
```